# CdGa2Se4

A relaxed CdGa2Se4 crystal (PBEsol, Alexandria via LeMat-Bulk).

Values from the calculation:
Its density of states at the Fermi level is 0.00 states/eV/cell. Its uncorrected formation energy is -0.592 eV/atom. The space group is I-4 (82).

a b c (Å): 5.717 5.717 6.735
angles (deg): 115.11 115.11 90.00
Sites, in units of the cell vectors:
Ga  0.750  0.250  0.500
Ga  0.500  0.500  0.000
Se  0.138  0.605  0.719
Se  0.581  0.115  0.719
Se  0.885  0.862  0.281
Se  0.395  0.419  0.281
Cd  0.000  0.000  0.000